# 1
The following is a DFT calculation (PBE) of CaPmGaPt after structural relaxation.

```
CaPmGaPt
1.0
4.285 0.000 0.000
0.000 2.026 5.690
0.000 -2.026 5.690
Ca Pm Ga Pt
1 1 1 1
direct
0.000 0.000 0.000
0.500 0.288 0.288
0.500 0.577 0.577
0.000 0.720 0.720
```

Results
As for the density: 7565 kg/m3. The calculation puts the total DFT energy (no corrections) at -4.7525 eV/atom. As for the formation energy: -0.798 eV/atom. For the energy above the lowest structure with this stoichiometry, the calculation gives 0.000 eV/atom.

=====

# 2
The following is a DFT calculation (PBE) of In3AsS after structural relaxation.

```
In3AsS
1.0
5.271 0.000 0.000
0.000 5.271 0.000
0.000 0.000 5.271
In As S
3 1 1
direct
0.000 0.000 0.500
0.000 0.500 0.000
0.500 0.000 0.000
0.500 0.500 0.500
0.000 0.000 0.000
```

Results
As for the density: 5118 kg/m3. As for the formation energy without anion corrections: 33.6 kJ/mol of atoms. The calculation puts the total DFT energy (no corrections) at -3.0499 eV/atom. For the energy above the lowest structure with this stoichiometry, the calculation gives 0.038 eV/atom.

=====

# 3
The following is a DFT calculation (PBE) of CsPaSe3 after structural relaxation.

```
CsPaSe3
1.0
9.920 -2.786 0.000
9.920 2.786 0.000
-3.732 0.000 8.255
Cs Pa Se
2 2 6
direct
0.111 0.111 0.473
0.889 0.889 0.527
0.336 0.336 0.001
0.664 0.664 0.999
0.188 0.188 0.979
0.324 0.324 0.707
0.453 0.453 0.271
0.547 0.547 0.729
0.676 0.676 0.293
0.812 0.812 0.021
```

Results
As for the density: 4373 kg/m3. As for the formation energy without anion corrections: -113.2 kJ/mol of atoms. The calculation puts the total DFT energy (no corrections) at -5.3342 eV/atom. For the energy above the lowest structure with this stoichiometry, the calculation gives 0.251 eV/atom.

=====

# 4
The following is a DFT calculation (PBE) of LaOsCl3 after structural relaxation.

```
LaOsCl3
1.0
5.597 0.000 0.000
0.000 5.597 0.000
0.000 0.000 5.597
La Os Cl
1 1 3
direct
0.000 0.000 0.000
0.500 0.500 0.500
0.000 0.000 0.500
0.000 0.500 0.000
0.500 0.000 0.000
```

Results
As for the density: 4125 kg/m3. As for the formation energy without anion corrections: -19.2 kJ/mol of atoms. The calculation puts the total DFT energy (no corrections) at -4.5380 eV/atom. For the energy above the lowest structure with this stoichiometry, the calculation gives 0.076 eV/atom.

=====

> What is the density in the fourth record?

4125 kg/m3

=====

> The highest density belongs to which entry?

CaPmGaPt

=====

> density of number 4 (LaOsCl3)?

4125 kg/m3